Material: SrV2SiO8
Method: DFT, PBE with a Hubbard U
State: relaxed

Computed properties:
* total DFT energy (no corrections): -7.440 eV per atom
* V: 167.4 Å³/f.u.

Cell and atoms, written as CIF:
```
data_SrV2SiO8
_chemical_formula_sum 'Sr1 V2 Si1 O8'
_cell_length_a 5.3744
_cell_length_b 5.3744
_cell_length_c 6.6914
_cell_angle_alpha 90.00
_cell_angle_beta 90.00
_cell_angle_gamma 120.00
_space_group_name_H-M_alt 'P -3'
_space_group_IT_number 147
loop_
_space_group_symop_operation_xyz
'x,y,z'
'-x,-y,-z'
'-y,x-y,z'
'y,-x+y,-z'
'-x+y,-x,z'
'x-y,x,-z'
loop_
_atom_site_label
_atom_site_type_symbol
_atom_site_fract_x
_atom_site_fract_y
_atom_site_fract_z
_atom_site_occupancy
Sr1 Sr 0.0000 0.0000 0.0000 1
V1 V 0.3333 0.6667 0.7354 1
Si1 Si 0.0000 0.0000 0.5000 1
O1 O 0.1413 0.3047 0.6610 1
O2 O 0.3333 0.6667 0.9857 1
```